A relaxed structure of CoHgSeN2, computed with PBE.

Summary:
ΔE_f (raw) = 5.258 eV per formula unit
Symmetry = P4/mmm
ρ = 8.007 g/cm³

```
data_CoHgSeN2
_cell_length_a 3.707
_cell_length_b 3.707
_cell_length_c 5.532
_cell_angle_alpha 90.00
_cell_angle_beta 90.00
_cell_angle_gamma 90.00
_symmetry_space_group_name_H-M 'P 1'
_symmetry_Int_Tables_number 1
_symmetry_space_group_name_Hall 'P 1'
loop_
_atom_site_label
_atom_site_type_symbol
_atom_site_fract_x
_atom_site_fract_y
_atom_site_fract_z
N1 N 0.500 0.000 0.000
N2 N 0.000 0.500 0.000
Co1 Co 0.000 0.000 0.000
Se1 Se 0.000 0.000 0.500
Hg1 Hg 0.500 0.500 0.500
```